A plane-wave DFT calculation with GGA-PBE was carried out for a relaxed structure of AuBr2.

## Properties
The calculation puts the total energy at -6.9 eV per formula unit. The calculation puts the density at 6390 kg/m³.

abc: 8.1366 3.6871 6.8962
angles: 90.00 116.33 90.00
Last column: nearest neighbours and their distance in Å.
Space group C2/m (No. 12)
Unique sites:
Au  0.0000  0.0000  0.0000  4 Br 2.58
Br  0.0032  0.5000  0.7393  2 Au 2.58

=====

A plane-wave DFT calculation with GGA-PBE was carried out for a relaxed structure of Au2Br3.

## Properties
The calculation puts the total energy at -11.3 eV per formula unit. The calculation puts the density at 7498 kg/m³.

abc: 3.9667 11.7930 5.9998
angles: 90.00 90.00 90.00
Last column: nearest neighbours and their distance in Å.
Space group Imm2 (No. 44)
Unique sites:
Au  0.0000  0.1202  0.0000  4 Br 2.52-2.77
Br  0.0000  0.0000  0.3479  2 Au 2.52
Br  0.0000  0.3281  0.2152  3 Au 2.69-2.77

=====

A plane-wave DFT calculation with GGA-PBE was carried out for a relaxed structure of AuBr.

## Properties
The calculation puts the total energy at -5.1 eV per formula unit. The calculation puts the density at 8014 kg/m³.

abc: 6.0420 6.0603 12.5341
angles: 90.00 90.00 90.00
Last column: nearest neighbours and their distance in Å.
Space group Cmm2 (No. 35)
Unique sites:
Au  0.0000  0.2501  0.0000  2 Br 2.49
Au  0.2498  0.0000  0.4979  2 Br 2.49
Br  0.0000  0.0000  0.1579  2 Au 2.49
Br  0.0000  0.0000  0.6562  2 Au 2.49
Br  0.0000  0.5000  0.3398  2 Au 2.49
Br  0.0000  0.5000  0.8420  2 Au 2.49

=====

A plane-wave DFT calculation with GGA-PBE was carried out for a relaxed structure of AuBr2.

## Properties
The calculation puts the total energy at -6.4 eV per formula unit. The calculation puts the density at 6993 kg/m³.

abc: 4.0163 4.0163 12.1300
angles: 90.00 90.00 120.00
Last column: nearest neighbours and their distance in Å.
Space group P6_3mc (No. 186)
Unique sites:
Au  0.3333  0.6667  0.0000  6 Br 2.76-2.78
Br  0.0000  0.0000  0.3743  3 Au 2.78
Br  0.3333  0.6667  0.6238  3 Au 2.76

=====

A plane-wave DFT calculation with GGA-PBE was carried out for a relaxed structure of AuBr6.

## Properties
The calculation puts the total energy at -12.1 eV per formula unit. The calculation puts the density at 5569 kg/m³.

abc: 6.6483 6.6483 15.8061
angles: 90.00 90.00 120.00
Last column: nearest neighbours and their distance in Å.
Space group R-3 (No. 148, hexagonal axes)
Unique sites:
Au  0.0000  0.0000  0.0000  6 Br 2.57
Br  0.0019  0.3659  0.2426  1 Au 2.57

=====

A plane-wave DFT calculation with GGA-PBE was carried out for a relaxed structure of AuBr.

## Properties
The calculation puts the total energy at -5.2 eV per formula unit. The calculation puts the density at 7411 kg/m³.

abc: 5.9636 6.1626 13.5045
angles: 90.00 90.00 90.00
Last column: nearest neighbours and their distance in Å.
Space group Cmce (No. 64)
Unique sites:
Au  0.2500  0.2465  0.2500  2 Br 2.50
Br  0.0000  0.2485  0.1018  2 Au 2.50

=====

A plane-wave DFT calculation with GGA-PBE was carried out for a relaxed structure of AuBr2.

## Properties
The calculation puts the total energy at -6.2 eV per formula unit. The calculation puts the density at 2954 kg/m³.

abc: 11.7071 11.7071 11.7071
angles: 90.00 90.00 90.00
Last column: nearest neighbours and their distance in Å.
Space group Fd-3m (No. 227, origin choice 2)
Unique sites:
Au  0.1250  0.1250  0.1250  4 Br 2.53
Br  0.0000  0.0000  0.0000  2 Au 2.53

=====

A plane-wave DFT calculation with GGA-PBE was carried out for a relaxed structure of AuCBr6.

## Properties
The calculation puts the total energy at -15.2 eV per formula unit. The calculation puts the density at 5429 kg/m³.

abc: 9.4439 9.4439 9.4439
angles: 90.00 90.00 90.00
Last column: nearest neighbours and their distance in Å.
Space group F-43m (No. 216)
Unique sites:
Au  0.0000  0.0000  0.0000  12 Br 3.34
C  0.2500  0.2500  0.7500  6 Br 2.28
Br  0.0089  0.2500  0.7500  1 C 2.28

=====

A plane-wave DFT calculation with GGA-PBE was carried out for a relaxed structure of H8AuC2S2BrN4.

## Properties
The calculation puts the total energy at -96.6 eV per formula unit. The calculation puts the density at 3147 kg/m³.

abc: 8.5929 16.1201 6.6282
angles: 90.00 99.46 90.00
Last column: nearest neighbours and their distance in Å.
Space group C2/c (No. 15)
Unique sites:
H  0.1030  0.0772  0.0765  1 N 1.03
H  0.1212  0.2193  0.0971  1 N 1.02
H  0.2118  0.0150  0.2684  1 N 1.02
H  0.2180  0.2349  0.7427  1 N 1.02
Au  0.0000  0.5000  0.0000  2 S 2.31
C  0.2415  0.3605  0.7082  2 N 1.33-1.34
S  0.0898  0.3648  0.5034  1 C 1.72
Br  0.0000  0.1302  0.7500  4 H 2.36-2.53
N  0.1809  0.0724  0.2119  2 H 1.02-1.03
N  0.2134  0.2139  0.2154  2 H 1.02

=====

A plane-wave DFT calculation with GGA-PBE was carried out for a relaxed structure of Au4Br3Cl.

## Properties
The calculation puts the total energy at -21.0 eV per formula unit. The calculation puts the density at 7254 kg/m³.

abc: 6.2190 6.2272 12.5666
angles: 90.00 90.00 90.00
Last column: nearest neighbours and their distance in Å.
Space group Cmm2 (No. 35)
Unique sites:
Au  0.0000  0.2473  0.0000  1 Cl 2.37, 1 Br 2.47
Au  0.2501  0.0000  0.5022  2 Br 2.48-2.49
Br  0.0000  0.0000  0.3479  2 Au 2.49
Br  0.0000  0.5000  0.1512  2 Au 2.47
Br  0.0000  0.5000  0.6561  2 Au 2.48
Cl  0.0000  0.0000  0.8569  2 Au 2.37

=====

A plane-wave DFT calculation with GGA-PBE was carried out for a relaxed structure of Cs2CuAuBr4Cl2.

## Properties
The calculation puts the total energy at -29.0 eV per formula unit. The calculation puts the density at 4620 kg/m³.

abc: 7.6730 7.6730 11.1944
angles: 90.00 90.00 90.00
Last column: nearest neighbours and their distance in Å.
Space group I4/mmm (No. 139)
Unique sites:
Cs  0.0000  0.5000  0.2500  4 Cl 3.89, 8 Br 3.90
Cu  0.0000  0.0000  0.0000  2 Cl 2.16
Au  0.0000  0.0000  0.5000  4 Br 2.52
Br  0.2322  0.2322  0.5000  1 Au 2.52
Cl  0.0000  0.0000  0.1930  1 Cu 2.16

=====

A plane-wave DFT calculation with GGA-PBE was carried out for a relaxed structure of Cs2SnAuBr4Cl2.

## Properties
The calculation puts the total energy at -30.4 eV per formula unit. The calculation puts the density at 4743 kg/m³.

abc: 7.8856 7.8856 10.9452
angles: 90.00 90.00 90.00
Last column: nearest neighbours and their distance in Å.
Space group I4/mmm (No. 139)
Unique sites:
Cs  0.0000  0.5000  0.2500  8 Br 3.91, 4 Cl 3.94
Sn  0.0000  0.0000  0.0000  2 Cl 2.67, 4 Br 2.82
Au  0.0000  0.0000  0.5000  4 Br 2.75, 2 Cl 2.80
Br  0.2467  0.2467  0.5000  1 Au 2.75, 1 Sn 2.82
Cl  0.0000  0.0000  0.2437  1 Sn 2.67, 1 Au 2.80

=====

A plane-wave DFT calculation with GGA-PBE was carried out for a relaxed structure of Rb2CuAuBr2Cl4.

## Properties
The calculation puts the total energy at -29.5 eV per formula unit. The calculation puts the density at 4226 kg/m³.

abc: 7.2054 7.2054 11.0949
angles: 90.00 90.00 90.00
Last column: nearest neighbours and their distance in Å.
Space group I4/mmm (No. 139)
Unique sites:
Rb  0.0000  0.5000  0.2500  4 Br 3.63, 8 Cl 3.77
Cu  0.0000  0.0000  0.0000  2 Br 2.32
Au  0.0000  0.0000  0.5000  4 Cl 2.38
Br  0.0000  0.0000  0.2091  1 Cu 2.32
Cl  0.2336  0.2336  0.5000  1 Au 2.38

=====

A plane-wave DFT calculation with GGA-PBE was carried out for a relaxed structure of FeAuBr3Cl.

## Properties
The calculation puts the total energy at -20.6 eV per formula unit. The calculation puts the density at 4359 kg/m³.

abc: 6.0510 6.0777 6.9036
angles: 115.97 115.07 90.18
Last column: nearest neighbours and their distance in Å.
Space group P1 (No. 1)
Unique sites:
Fe  0.0000  0.0000  0.0000  1 Cl 2.21, 3 Br 2.37
Au  0.7502  0.2423  0.4955  1 Cl 2.61, 3 Br 2.65-2.66
Br  0.1220  0.0988  0.7586  1 Fe 2.37
Br  0.3393  0.8752  0.2299  1 Fe 2.37, 1 Au 2.65
Br  0.6465  0.6571  0.7602  1 Fe 2.37
Cl  0.9014  0.3291  0.2286  1 Fe 2.21

=====

A plane-wave DFT calculation with GGA-PBE was carried out for a relaxed structure of FeAuBrCl3.

## Properties
The calculation puts the total energy at -21.5 eV per formula unit. The calculation puts the density at 4175 kg/m³.

abc: 5.7274 5.7352 6.6010
angles: 113.64 115.16 91.52
Last column: nearest neighbours and their distance in Å.
Space group P1 (No. 1)
Unique sites:
Fe  0.0000  0.0000  0.0000  3 Cl 2.22, 1 Br 2.37
Au  0.2533  0.7323  0.4880  3 Cl 2.55-2.61, 1 Br 2.57
Br  0.3926  0.3398  0.2421  1 Fe 2.37, 1 Au 2.57
Cl  0.0959  0.6521  0.7706  1 Fe 2.22
Cl  0.6710  0.1248  0.7677  1 Fe 2.22
Cl  0.8877  0.9112  0.2498  1 Fe 2.22

=====

A plane-wave DFT calculation with GGA-PBE was carried out for a relaxed structure of FeAuBr2Cl2.

## Properties
The calculation puts the total energy at -21.1 eV per formula unit. The calculation puts the density at 4268 kg/m³.

abc: 5.8828 5.8829 6.7545
angles: 114.93 114.62 90.18
Last column: nearest neighbours and their distance in Å.
Space group P1 (No. 1)
Unique sites:
Fe  0.0000  0.0000  0.0000  2 Cl 2.22, 2 Br 2.37-2.38
Au  0.7565  0.2610  0.5015  2 Cl 2.58-2.60, 2 Br 2.62
Br  0.1382  0.6616  0.7602  1 Fe 2.37, 1 Au 2.62
Br  0.3417  0.3670  0.2370  1 Fe 2.38, 1 Au 2.62
Cl  0.6624  0.0931  0.7616  1 Fe 2.22
Cl  0.9096  0.8915  0.2400  1 Fe 2.22

=====

A plane-wave DFT calculation with GGA-PBE was carried out for a relaxed structure of Au4IBrCl2.

## Properties
The calculation puts the total energy at -19.1 eV per formula unit. The calculation puts the density at 7374 kg/m³.

abc: 6.1851 6.1851 12.5455
angles: 90.00 90.00 90.00
Last column: nearest neighbours and their distance in Å.
Space group I-4 (No. 82)
Unique sites:
Au  0.2422  0.2512  0.3755  2 Cl 2.66, 1 I 2.71, 1 Br 2.73
I  0.0000  0.0000  0.0000  4 Au 2.71
Br  0.0000  0.5000  0.7500  4 Au 2.73
Cl  0.0000  0.0000  0.5000  4 Au 2.66
Cl  0.0000  0.5000  0.2500  4 Au 2.66

=====

A plane-wave DFT calculation with GGA-PBE was carried out for a relaxed structure of KAuBr2Cl.

## Properties
The calculation puts the total energy at -13.9 eV per formula unit. The calculation puts the density at 4391 kg/m³.

abc: 7.7124 7.7124 10.9691
angles: 90.00 90.00 90.00
Last column: nearest neighbours and their distance in Å.
Space group I4/mmm (No. 139)
Unique sites:
K  0.0000  0.5000  0.2500  8 Br 3.87, 4 Cl 3.88
Au  0.0000  0.0000  0.0000  4 Br 2.52
Au  0.0000  0.0000  0.5000  2 Cl 2.33
Br  0.2309  0.2309  0.0000  1 Au 2.52
Cl  0.0000  0.0000  0.2875  1 Au 2.33

=====

A plane-wave DFT calculation with GGA-PBE was carried out for a relaxed structure of RbAuBr2Cl.

## Properties
The calculation puts the total energy at -13.9 eV per formula unit. The calculation puts the density at 4681 kg/m³.

abc: 7.7853 7.7853 11.1841
angles: 90.00 90.00 90.00
Last column: nearest neighbours and their distance in Å.
Space group I4/mmm (No. 139)
Unique sites:
Rb  0.0000  0.5000  0.2500  4 Cl 3.92, 8 Br 3.93
Au  0.0000  0.0000  0.0000  4 Br 2.52
Au  0.0000  0.0000  0.5000  2 Cl 2.32
Br  0.2286  0.2286  0.0000  1 Au 2.52
Cl  0.0000  0.0000  0.2921  1 Au 2.32

=====

A plane-wave DFT calculation with GGA-PBE was carried out for a relaxed structure of Cs2CoAuBr6.

## Properties
The calculation puts the total energy at -30.2 eV per formula unit. The calculation puts the density at 5415 kg/m³.

abc: 10.7087 10.7087 10.7087
angles: 90.00 90.00 90.00
Last column: nearest neighbours and their distance in Å.
Space group Fm-3m (No. 225)
Unique sites:
Cs  0.2500  0.2500  0.2500  12 Br 3.79
Co  0.0000  0.0000  0.0000  6 Br 2.56
Au  0.0000  0.0000  0.5000  6 Br 2.79
Br  0.0000  0.0000  0.2391  1 Co 2.56, 1 Au 2.79